Entry 1:
# As2RuPt (PBE-GGA, relaxed)
data_As2RuPt
_cell_length_a 5.840
_cell_length_b 8.651
_cell_length_c 2.988
_cell_angle_alpha 90.00
_cell_angle_beta 120.39
_cell_angle_gamma 90.00
_space_group_name_H-M_alt 'C 1 2/m 1'
_space_group_IT_number 12
loop_
_space_group_symop_operation_xyz
'x,y,z'
'-x,-y,-z'
'-x,y,-z'
'x,-y,z'
'x+1/2,y+1/2,z'
'-x+1/2,-y+1/2,-z'
'-x+1/2,y+1/2,-z'
'x+1/2,-y+1/2,z'
loop_
_atom_site_label
_atom_site_type_symbol
_atom_site_fract_x
_atom_site_fract_y
_atom_site_fract_z
As1 As 0.250 0.250 0.000
Ru1 Ru 0.000 0.000 0.500
Pt1 Pt 0.000 0.500 0.500
# Energy of formation from the pure elements in meV per atom: 269

---

Entry 2:
# As2RuPt (PBE-GGA, relaxed)
data_As2RuPt
_cell_length_a 3.157
_cell_length_b 3.228
_cell_length_c 6.208
_cell_angle_alpha 90.00
_cell_angle_beta 90.00
_cell_angle_gamma 90.00
_space_group_name_H-M_alt 'P m m m'
_space_group_IT_number 47
loop_
_space_group_symop_operation_xyz
'x,y,z'
'-x,-y,-z'
'-x,-y,z'
'x,y,-z'
'x,-y,-z'
'-x,y,z'
'-x,y,-z'
'x,-y,z'
loop_
_atom_site_label
_atom_site_type_symbol
_atom_site_fract_x
_atom_site_fract_y
_atom_site_fract_z
As1 As 0.000 0.000 0.240
Ru1 Ru 0.500 0.500 0.000
Pt1 Pt 0.500 0.500 0.500
# Energy of formation from the pure elements in meV per atom: 43

---

Entry 3:
# AsRu2Pt (PBE-GGA, relaxed)
data_AsRu2Pt
_cell_length_a 2.8371
_cell_length_b 2.8371
_cell_length_c 25.7954
_cell_angle_alpha 90.00
_cell_angle_beta 90.00
_cell_angle_gamma 120.00
_space_group_name_H-M_alt 'R 3 m'
_space_group_IT_number 160
_space_group_name_Hall 'R 3 -2"'
loop_
_atom_site_label
_atom_site_type_symbol
_atom_site_fract_x
_atom_site_fract_y
_atom_site_fract_z
As1 As 0.0000 0.0000 0.0000
Ru1 Ru 0.0000 0.0000 0.4911
Ru2 Ru 0.0000 0.0000 0.7440
Pt1 Pt 0.0000 0.0000 0.2466
# Energy of formation from the pure elements in meV per atom: 117

---

Entry 4:
# As2RuPt (PBE-GGA, relaxed)
data_As2RuPt
_cell_length_a 3.406
_cell_length_b 3.675
_cell_length_c 5.179
_cell_angle_alpha 90.00
_cell_angle_beta 90.01
_cell_angle_gamma 90.00
_space_group_name_H-M_alt 'P 1 m 1'
_space_group_IT_number 6
loop_
_space_group_symop_operation_xyz
'x,y,z'
'x,-y,z'
loop_
_atom_site_label
_atom_site_type_symbol
_atom_site_fract_x
_atom_site_fract_y
_atom_site_fract_z
As1 As 0.000 0.000 0.000
As2 As 0.498 0.500 0.623
Ru1 Ru 0.997 0.000 0.481
Pt1 Pt 0.500 0.500 0.136
# Energy of formation from the pure elements in meV per atom: -151

---

Q: Which of these has the lowest energy of formation from the pure elements?
A: number 4